Here is a relaxed Sr2ZrP2N6 crystal from the Alexandria database. Energies are from PBE-GGA.

a b c (Å): 6.6114 6.6114 6.6114
angles (deg): 50.76 50.76 50.76
With the nearest neighbours (Å) after each atom.
Element x y z (fractional)
Sr 0.2131 0.2131 0.2131  9 N 2.84-2.91
Sr 0.7869 0.7869 0.7869  9 N 2.84-2.91
Zr 0.0000 0.0000 0.0000  6 N 2.20
P 0.4130 0.4130 0.4130  3 N 1.58
P 0.5870 0.5870 0.5870  3 N 1.58
N 0.2539 0.2539 0.7356  1 P 1.58
N 0.2539 0.7356 0.2539  1 P 1.58
N 0.2644 0.7461 0.7461  1 P 1.58
N 0.7356 0.2539 0.2539  1 P 1.58
N 0.7461 0.2644 0.7461  1 P 1.58
N 0.7461 0.7461 0.2644  1 P 1.58

Summary:
Formation energy without anion corrections: -0.930 eV/atom
Size of the total moment: 0.00 μB per formula unit

***

Here is a relaxed TaP3N crystal from the Alexandria database. Energies are from PBE-GGA.

a b c (Å): 4.0164 4.0164 4.0164
angles (deg): 90.00 90.00 90.00
With the nearest neighbours (Å) after each atom.
Element x y z (fractional)
Ta 0.0000 0.0000 0.0000  12 P 2.84
P 0.0000 0.5000 0.5000  2 N 2.01
P 0.5000 0.0000 0.5000  2 N 2.01
P 0.5000 0.5000 0.0000  2 N 2.01
N 0.5000 0.5000 0.5000  6 P 2.01

Summary:
Formation energy without anion corrections: 0.570 eV/atom
Size of the total moment: 0.00 μB per formula unit
E above lowest polymorph: 0.000 eV per atom

***

Here is a relaxed TaPN2 crystal from the Alexandria database. Energies are from PBE-GGA.

a b c (Å): 6.5241 6.5241 6.5241
angles (deg): 24.50 24.50 24.50
With the nearest neighbours (Å) after each atom.
Element x y z (fractional)
Ta 0.0000 0.0000 0.0000  2 N 2.20
P 0.5000 0.5000 0.5000  6 N 1.86
N 0.1161 0.1161 0.1161  3 P 1.86
N 0.8839 0.8839 0.8839  3 P 1.86

Summary:
Formation energy without anion corrections: 0.038 eV/atom
Size of the total moment: 0.00 μB per formula unit

***

Here is a relaxed TaPN2 crystal from the Alexandria database. Energies are from PBE-GGA.

a b c (Å): 5.2656 5.2656 5.2656
angles (deg): 128.06 128.06 76.53
With the nearest neighbours (Å) after each atom.
Element x y z (fractional)
Ta 0.0000 0.0000 0.0000  4 N 2.18
Ta 0.7500 0.2500 0.5000  4 N 2.18
P 0.2500 0.7500 0.5000  4 N 1.73
P 0.5000 0.5000 0.0000  4 N 1.73
N 0.2067 0.6250 0.0817  2 P 1.73
N 0.3750 0.4567 0.5817  2 P 1.73
N 0.5433 0.1250 0.9183  2 P 1.73
N 0.8750 0.7933 0.4183  2 P 1.73

Summary:
Formation energy without anion corrections: 0.217 eV/atom
Size of the total moment: 0.00 μB per formula unit

***

What did the second record say?
Here is a relaxed TaP3N crystal from the Alexandria database. Energies are from PBE-GGA.

a b c (Å): 4.0164 4.0164 4.0164
angles (deg): 90.00 90.00 90.00
With the nearest neighbours (Å) after each atom.
Element x y z (fractional)
Ta 0.0000 0.0000 0.0000  12 P 2.84
P 0.0000 0.5000 0.5000  2 N 2.01
P 0.5000 0.0000 0.5000  2 N 2.01
P 0.5000 0.5000 0.0000  2 N 2.01
N 0.5000 0.5000 0.5000  6 P 2.01

Summary:
Formation energy without anion corrections: 0.570 eV/atom
Size of the total moment: 0.00 μB per formula unit
E above lowest polymorph: 0.000 eV per atom